Compound: NdDyEr2Tm4
Source: Alexandria via LeMat-Bulk
Functional: GGA-PBE
Structure: relaxed

Unit cell a=9.4331 b=9.4331 c=11.6623 alpha=128.18 beta=128.18 gamma=88.90
Element x y z (fractional)
Nd: 0.0000 0.5000 0.5000
Nd: 0.0000 0.5000 0.0000
Tm: 0.2531 0.2490 0.0000
Tm: 0.7490 0.7531 0.5000
Tm: 0.7474 0.2495 0.9985
Tm: 0.2526 0.7505 0.0015
Tm: 0.7469 0.7510 0.0000
Tm: 0.7495 0.2474 0.4985
Tm: 0.2510 0.2469 0.5000
Tm: 0.2505 0.7526 0.5015
Er: 0.5000 0.0000 0.5000
Er: 0.0000 0.0000 0.5000
Er: 0.5000 0.5000 0.0000
Er: 0.5000 0.0000 0.0000
Dy: 0.5000 0.5000 0.5000
Dy: 0.0000 0.0000 0.0000

Computed properties:
V (Å³ per cell): 518.91
Fermi-level density of states (states/eV per cell): 34.3
Space-group type: No. 15
Energy of formation (kJ/mol of formula units): 346
Theoretical density (g/cm3): 8.4

Compound: Nd2Dy6Er3Tm
Source: Alexandria via LeMat-Bulk
Functional: GGA-PBE
Structure: relaxed

Unit cell a=6.1465 b=6.1465 c=11.7710 alpha=94.97 beta=94.97 gamma=119.96
Element x y z (fractional)
Dy: 0.5829 0.9152 0.7469
Dy: 0.4171 0.0848 0.2531
Dy: 0.0848 0.4171 0.2531
Dy: 0.7526 0.7526 0.2534
Dy: 0.2474 0.2474 0.7466
Dy: 0.9152 0.5829 0.7469
Nd: 0.6666 0.3334 0.0000
Nd: 0.3334 0.6666 0.0000
Tm: 0.0000 0.0000 0.0000
Er: 0.8337 0.1663 0.5000
Er: 0.1663 0.8337 0.5000
Er: 0.5000 0.5000 0.5000

Computed properties:
V (Å³ per cell): 379.45
Fermi-level density of states (states/eV per cell): 15.4
Space-group type: No. 12
Energy of formation (kJ/mol of formula units): 21
Theoretical density (g/cm3): 8.5

Compound: Nd2DyEr2Tm2
Source: Alexandria via LeMat-Bulk
Functional: GGA-PBE
Structure: relaxed

Unit cell a=3.4991 b=6.0873 c=11.7590 alpha=71.76 beta=90.00 gamma=106.70
Element x y z (fractional)
Nd: 0.3282 0.6564 0.0854
Nd: 0.6718 0.3436 0.9146
Er: 0.4508 0.9017 0.7686
Er: 0.5492 0.0983 0.2314
Tm: 0.2267 0.4534 0.6349
Tm: 0.7733 0.5466 0.3651
Dy: 0.0000 0.0000 0.5000

Computed properties:
V (Å³ per cell): 226.73
Fermi-level density of states (states/eV per cell): 11.4
Space-group type: No. 12
Energy of formation (kJ/mol of formula units): 59
Theoretical density (g/cm3): 8.2

Compound: Nd5DyErTm2
Source: Alexandria via LeMat-Bulk
Functional: GGA-PBE
Structure: relaxed

Unit cell a=5.6225 b=10.5660 c=10.7040 alpha=90.00 beta=90.00 gamma=105.43
Element x y z (fractional)
Dy: 0.8015 0.6030 0.5113
Dy: 0.1985 0.3970 0.0113
Nd: 0.9843 0.9687 0.5168
Nd: 0.2798 0.5596 0.3127
Nd: 0.6156 0.2313 0.5208
Nd: 0.2977 0.5954 0.7073
Nd: 0.3844 0.7687 0.0208
Nd: 0.4839 0.9677 0.7438
Nd: 0.7023 0.4046 0.2073
Nd: 0.7202 0.4404 0.8127
Nd: 0.0157 0.0313 0.0168
Nd: 0.5161 0.0323 0.2438
Er: 0.4079 0.8159 0.4636
Er: 0.5921 0.1841 0.9636
Tm: 0.1121 0.2242 0.7405
Tm: 0.8862 0.7724 0.8071
Tm: 0.1138 0.2276 0.3071
Tm: 0.8879 0.7758 0.2405

Computed properties:
V (Å³ per cell): 612.97
Fermi-level density of states (states/eV per cell): 28.8
Space-group type: No. 36
Energy of formation (kJ/mol of formula units): 126
Theoretical density (g/cm3): 7.5

Compound: NdDy6Er2Tm3
Source: Alexandria via LeMat-Bulk
Functional: GGA-PBE
Structure: relaxed

Unit cell a=6.1150 b=6.1150 c=11.7079 alpha=94.98 beta=94.98 gamma=119.94
Element x y z (fractional)
Dy: 0.9154 0.5814 0.7476
Dy: 0.4186 0.0846 0.2524
Dy: 0.7504 0.7504 0.2523
Dy: 0.0846 0.4186 0.2524
Dy: 0.2496 0.2496 0.7477
Dy: 0.5814 0.9154 0.7476
Er: 0.6666 0.3334 0.0000
Er: 0.3334 0.6666 0.0000
Nd: 0.0000 0.0000 0.0000
Tm: 0.5000 0.5000 0.5000
Tm: 0.8330 0.1670 0.5000
Tm: 0.1670 0.8330 0.5000

Computed properties:
V (Å³ per cell): 373.61
Fermi-level density of states (states/eV per cell): 15.7
Space-group type: No. 12
Energy of formation (kJ/mol of formula units): 23
Theoretical density (g/cm3): 8.7

Compound: NdDyErTm3
Source: Alexandria via LeMat-Bulk
Functional: GGA-PBE
Structure: relaxed

Unit cell a=4.9950 b=7.8956 c=9.9950 alpha=90.00 beta=90.00 gamma=108.44
Element x y z (fractional)
Tm: 0.8317 0.6635 0.2500
Tm: 0.6678 0.3357 0.4999
Tm: 0.6678 0.3357 0.0001
Tm: 0.3322 0.6643 0.9999
Tm: 0.1683 0.3365 0.7500
Tm: 0.3322 0.6643 0.5001
Nd: 0.4998 0.9995 0.2500
Nd: 0.5002 0.0005 0.7500
Er: 0.8317 0.6634 0.7500
Er: 0.1683 0.3366 0.2500
Dy: 0.0000 0.0000 0.0000
Dy: 0.0000 0.0000 0.5000

Computed properties:
V (Å³ per cell): 373.94
Fermi-level density of states (states/eV per cell): 16.4
Space-group type: No. 63
Energy of formation (kJ/mol of formula units): 15
Theoretical density (g/cm3): 8.7

Compound: Nd3DyEr6Tm2
Source: Alexandria via LeMat-Bulk
Functional: GGA-PBE
Structure: relaxed

Unit cell a=6.1538 b=6.1538 c=11.7237 alpha=95.01 beta=95.01 gamma=119.97
Element x y z (fractional)
Er: 0.5847 0.9182 0.7545
Er: 0.9182 0.5847 0.7545
Er: 0.2518 0.2518 0.7545
Er: 0.7482 0.7482 0.2455
Er: 0.4153 0.0818 0.2455
Er: 0.0818 0.4153 0.2455
Tm: 0.3333 0.6667 0.0000
Tm: 0.6667 0.3333 0.0000
Nd: 0.1668 0.8332 0.5000
Nd: 0.8332 0.1668 0.5000
Nd: 0.5000 0.5000 0.5000
Dy: 0.0000 0.0000 0.0000

Computed properties:
V (Å³ per cell): 378.69
Fermi-level density of states (states/eV per cell): 16.2
Space-group type: No. 12
Energy of formation (kJ/mol of formula units): 26
Theoretical density (g/cm3): 8.5

Compound: Nd2DyErTm6
Source: Alexandria via LeMat-Bulk
Functional: GGA-PBE
Structure: relaxed

Unit cell a=9.6053 b=8.6873 c=8.6873 alpha=118.11 beta=94.68 gamma=94.68
Element x y z (fractional)
Nd: 0.5432 0.1936 0.2972
Nd: 0.9568 0.7028 0.8064
Nd: 0.4568 0.8064 0.7028
Nd: 0.0432 0.2972 0.1936
Er: 0.2500 0.4063 0.5937
Er: 0.7500 0.5937 0.4063
Tm: 0.4424 0.2567 0.8747
Tm: 0.6186 0.4961 0.7075
Tm: 0.9424 0.8747 0.2567
Tm: 0.1186 0.7075 0.4961
Tm: 0.5576 0.7433 0.1253
Tm: 0.6867 0.0227 0.5758
Tm: 0.1867 0.5758 0.0227
Tm: 0.8814 0.2925 0.5039
Tm: 0.0576 0.1253 0.7433
Tm: 0.3133 0.9773 0.4242
Tm: 0.3814 0.5039 0.2925
Tm: 0.8133 0.4242 0.9773
Dy: 0.7500 0.0182 0.9818
Dy: 0.2500 0.9818 0.0182

Computed properties:
V (Å³ per cell): 631.34
Fermi-level density of states (states/eV per cell): 26.2
Space-group type: No. 15
Energy of formation (kJ/mol of formula units): 114
Theoretical density (g/cm3): 8.6